# La3PrY7, optimized geometry, DFT PBE
# - SG = P-1 (2)
# - uncorrected energy (Ry per atom) = -0.4247
# - energy relative to the elements (meV/atom) = 113
# - ρ (g/cm³) = 5.131
data_La3PrY7
_chemical_formula_sum 'La3 Pr1 Y7'
_cell_length_a 6.765
_cell_length_b 6.631
_cell_length_c 8.786
_cell_angle_alpha 81.29
_cell_angle_beta 80.63
_cell_angle_gamma 94.94
_space_group_name_H-M_alt 'P 1'
_space_group_IT_number 1
loop_
_space_group_symop_operation_xyz
'x,y,z'
loop_
_atom_site_label
_atom_site_type_symbol
_atom_site_fract_x
_atom_site_fract_y
_atom_site_fract_z
La1 La 0.937 0.800 0.160
La2 La 0.500 0.000 0.000
La3 La 0.063 0.200 0.840
Pr1 Pr 0.500 0.500 0.500
Y1 Y 0.779 0.275 0.215
Y2 Y 0.734 0.987 0.584
Y3 Y 0.295 0.444 0.146
Y4 Y 0.705 0.556 0.854
Y5 Y 0.000 0.500 0.500
Y6 Y 0.266 0.013 0.416
Y7 Y 0.221 0.725 0.785